No. 1
A plane-wave DFT calculation with GGA-PBE was carried out for a geometry-optimized Os3CO structure.

Geometry as CIF:
```
data_Os3CO
_chemical_formula_sum 'Os3 C1 O1'
_symmetry_space_group_name_H-M 'P 1'
_symmetry_Int_Tables_number 1
_symmetry_space_group_name_Hall 'P 1'
_cell_length_a 4.0401
_cell_length_b 4.0401
_cell_length_c 4.0401
_cell_angle_alpha 90.00
_cell_angle_beta 90.00
_cell_angle_gamma 90.00
loop_
_atom_site_label
_atom_site_type_symbol
_atom_site_fract_x
_atom_site_fract_y
_atom_site_fract_z
Os1 Os 0.0000 0.0000 0.5000
O1 O 0.5000 0.5000 0.5000
Os2 Os 0.0000 0.5000 0.0000
C1 C 0.0000 0.0000 0.0000
Os3 Os 0.5000 0.0000 0.0000
```

Values from the calculation:
Space group: Pm-3m, No. 221
Offset from the most stable computed form in eV per formula unit: 0.00
ΔE_f (raw) in eV/atom: 1.396



No. 2
A plane-wave DFT calculation with GGA-PBE was carried out for a geometry-optimized ScBiRhO6 structure.

Geometry as CIF:
```
data_ScBiRhO6
_chemical_formula_sum 'Sc2 Bi2 Rh2 O12'
_symmetry_space_group_name_H-M 'P 1'
_symmetry_Int_Tables_number 1
_symmetry_space_group_name_Hall 'P 1'
_cell_length_a 4.8349
_cell_length_b 4.8349
_cell_length_c 9.7869
_cell_angle_alpha 90.00
_cell_angle_beta 90.00
_cell_angle_gamma 90.00
loop_
_atom_site_label
_atom_site_type_symbol
_atom_site_fract_x
_atom_site_fract_y
_atom_site_fract_z
O1 O 0.8086 0.1914 0.1802
Rh1 Rh 0.0000 0.0000 0.3321
Bi1 Bi 0.5000 0.5000 0.4987
O2 O 0.7080 0.7080 0.3273
O3 O 0.1914 0.8086 0.1802
O4 O 0.3166 0.3166 0.9947
O5 O 0.1834 0.8166 0.4947
Rh2 Rh 0.5000 0.5000 0.8321
O6 O 0.6834 0.6834 0.9947
Sc1 Sc 0.5000 0.5000 0.1647
O7 O 0.8166 0.1834 0.4947
O8 O 0.6914 0.6914 0.6802
O9 O 0.2920 0.2920 0.3273
O10 O 0.2080 0.7920 0.8273
O11 O 0.7920 0.2080 0.8273
O12 O 0.3086 0.3086 0.6802
Sc2 Sc 0.0000 0.0000 0.6647
Bi2 Bi 0.0000 0.0000 0.9987
```

Values from the calculation:
Space group: P4_2nm, No. 102
ΔE_f (raw) in eV/atom: -1.507



No. 3
A plane-wave DFT calculation with GGA-PBE was carried out for a geometry-optimized CrP4 structure.

Geometry as CIF:
```
data_CrP4
_chemical_formula_sum 'Cr2 P8'
_symmetry_space_group_name_H-M 'P 1'
_symmetry_Int_Tables_number 1
_symmetry_space_group_name_Hall 'P 1'
_cell_length_a 5.9716
_cell_length_b 5.9716
_cell_length_c 5.7154
_cell_angle_alpha 81.27
_cell_angle_beta 81.27
_cell_angle_gamma 128.43
loop_
_atom_site_label
_atom_site_type_symbol
_atom_site_fract_x
_atom_site_fract_y
_atom_site_fract_z
P1 P 0.9453 0.5086 0.6910
P2 P 0.5086 0.9453 0.1910
Cr1 Cr 0.0600 0.9400 0.7500
P3 P 0.0547 0.4914 0.3090
P4 P 0.1824 0.3617 0.8237
P5 P 0.8176 0.6383 0.1763
P6 P 0.6383 0.8176 0.6763
P7 P 0.3617 0.1824 0.3237
Cr2 Cr 0.9400 0.0600 0.2500
P8 P 0.4914 0.0547 0.8090
```

Values from the calculation:
Energy relative to the elements in eV per atom: -0.29
Space group: C2/c, No. 15



No. 4
A plane-wave DFT calculation with GGA-PBE was carried out for a geometry-optimized CdIn2TcRh structure.

Geometry as CIF:
```
data_CdIn2TcRh
_chemical_formula_sum 'Cd1 In2 Tc1 Rh1'
_symmetry_space_group_name_H-M 'P 1'
_symmetry_Int_Tables_number 1
_symmetry_space_group_name_Hall 'P 1'
_cell_length_a 5.0766
_cell_length_b 5.1425
_cell_length_c 5.0766
_cell_angle_alpha 90.00
_cell_angle_beta 90.00
_cell_angle_gamma 90.00
loop_
_atom_site_label
_atom_site_type_symbol
_atom_site_fract_x
_atom_site_fract_y
_atom_site_fract_z
In1 In 0.5000 0.0000 0.0000
In2 In 0.0000 0.0000 0.5000
Cd1 Cd 0.0000 0.5000 0.0000
Rh1 Rh 0.5000 0.5000 0.5000
Tc1 Tc 0.0000 0.0000 0.0000
```

Values from the calculation:
Energy relative to the elements in eV per atom: 1.03
Space group: P4/mmm, No. 123



Number 1: mass density 15.08 g cm⁻³, volume 65.9 Å³/cell, raw total energy -8.1778 eV per atom. Number 2: mass density 6.57 g cm⁻³, volume 228.8 Å³/cell, raw total energy -6.7636 eV per atom. Number 3: mass density 3.90 g cm⁻³, volume 149.6 Å³/cell, raw total energy -6.5399 eV per atom. Number 4: mass density 6.80 g cm⁻³, volume 132.5 Å³/cell, raw total energy -3.7929 eV per atom.